Entry one
Material: Li6ZnRh
Method: DFT, GGA-PBE
State: relaxed

Results
* space group: No. 2
* magnetization: 0.00 μB/f.u.

a = 7.0729 Å, b = 7.0622 Å, c = 4.9452 Å
α = 44.44°, β = 44.21°, γ = 59.47°
Sites, in units of the cell vectors:
Li: 0.0006 0.4973 0.7430
Rh: 0.0000 0.0000 0.0000
Zn: 0.5000 0.5000 0.5000
Li: 0.9994 0.5027 0.2570
Li: 0.7593 0.0004 0.7433
Li: 0.4991 0.7594 0.7412
Li: 0.5009 0.2406 0.2588
Li: 0.2407 0.9996 0.2567

***

Entry two
Material: Li6ZnRh
Method: DFT, GGA-PBE
State: relaxed

Results
* space group: No. 65
* magnetization: 0.00 μB/f.u.

a = 4.6013 Å, b = 9.2465 Å, c = 5.3928 Å
α = 149.01°, β = 90.00°, γ = 90.00°
Sites, in units of the cell vectors:
Li: 0.0000 0.3772 0.2499
Li: 0.0000 0.3892 0.7784
Rh: 0.5000 0.6252 0.2504
Li: 0.0000 0.8727 0.2499
Li: 0.0000 0.8610 0.7220
Zn: 0.5000 0.1246 0.2492
Li: 0.5000 0.1252 0.7501
Li: 0.5000 0.6249 0.7501

***

Of them, entry one has the lowest stability.

***

Entry one
Material: Li3ZnRh
Method: DFT, GGA-PBE
State: relaxed

Results
* space group: No. 221
* magnetization: 0.00 μB/f.u.

a = 4.6216 Å, b = 4.6216 Å, c = 4.6216 Å
α = 90.00°, β = 90.00°, γ = 90.00°
Sites, in units of the cell vectors:
Li: 0.0000 0.0000 0.5000
Li: 0.0000 0.5000 0.0000
Zn: 0.5000 0.5000 0.5000
Rh: 0.0000 0.0000 0.0000
Li: 0.5000 0.0000 0.0000

***

Entry two
Material: Li3ZnRh
Method: DFT, GGA-PBE
State: relaxed

Results
* space group: No. 2
* magnetization: 0.00 μB/f.u.

a = 4.1714 Å, b = 3.1359 Å, c = 11.8811 Å
α = 97.49°, β = 68.31°, γ = 89.99°
Sites, in units of the cell vectors:
Rh: 0.9460 0.6038 0.8057
Li: 0.6399 0.5079 0.6141
Li: 0.1361 0.0104 0.6185
Rh: 0.0540 0.2965 0.1943
Li: 0.2480 0.7007 0.0018
Zn: 0.5556 0.7958 0.1926
Zn: 0.4445 0.1047 0.8074
Li: 0.3606 0.3917 0.3858
Li: 0.8643 0.8893 0.3815
Li: 0.7511 0.1992 0.9982

***

Entry three
Material: Li3ZnRh
Method: DFT, GGA-PBE
State: relaxed

Results
* space group: No. 15
* magnetization: 0.00 μB/f.u.

a = 5.0280 Å, b = 6.8976 Å, c = 5.0713 Å
α = 79.81°, β = 60.95°, γ = 68.62°
Sites, in units of the cell vectors:
Li: 0.8043 0.9133 0.0020
Zn: 0.6484 0.7031 0.7500
Rh: 0.1554 0.6892 0.2500
Rh: 0.8446 0.3108 0.7500
Li: 0.2512 0.4976 0.7500
Li: 0.7177 0.0867 0.5020
Zn: 0.3516 0.2969 0.2500
Li: 0.2823 0.9133 0.4980
Li: 0.1957 0.0867 0.9980
Li: 0.7488 0.5024 0.2500

***

Of them, entry one has the lowest stability.

***

Entry one
Material: Li2Zn8Rh
Method: DFT, GGA-PBE
State: relaxed

Results
* space group: No. 12
* magnetization: 0.00 μB/f.u.

a = 4.1489 Å, b = 6.4425 Å, c = 6.8929 Å
α = 114.66°, β = 107.51°, γ = 90.00°
Sites, in units of the cell vectors:
Li: 0.7746 0.3457 0.5492
Zn: 0.3989 0.5510 0.7978
Zn: 0.3279 0.1058 0.6558
Zn: 0.1435 0.1677 0.2870
Zn: 0.9707 0.2784 0.9414
Zn: 0.6011 0.4490 0.2022
Zn: 0.0293 0.7216 0.0586
Zn: 0.8565 0.8323 0.7130
Li: 0.2254 0.6543 0.4508
Rh: 0.5000 0.0000 0.0000
Zn: 0.6721 0.8942 0.3442

***

Entry two
Material: Li2Zn8Rh
Method: DFT, GGA-PBE
State: relaxed

Results
* space group: No. 71
* magnetization: 0.00 μB/f.u.

a = 3.8668 Å, b = 8.1542 Å, c = 7.0732 Å
α = 125.20°, β = 105.86°, γ = 90.00°
Sites, in units of the cell vectors:
Zn: 0.0000 0.7812 0.0000
Zn: 0.6631 0.9192 0.3261
Li: 0.8569 0.3569 0.7137
Zn: 0.8164 0.8164 0.6328
Zn: 0.0000 0.2188 0.0000
Zn: 0.6631 0.4069 0.3261
Rh: 0.5000 0.0000 0.0000
Zn: 0.3369 0.5931 0.6739
Zn: 0.3369 0.0808 0.6739
Zn: 0.1836 0.1836 0.3672
Li: 0.1431 0.6431 0.2863

***

Of them, entry two has the lowest stability.

***

Entry one
Material: Li2Zn2Rh
Method: DFT, GGA-PBE
State: relaxed

Results
* space group: No. 12
* magnetization: 0.00 μB/f.u.

a = 4.2299 Å, b = 4.2299 Å, c = 4.9668 Å
α = 63.98°, β = 63.98°, γ = 59.77°
Sites, in units of the cell vectors:
Zn: 0.2054 0.7054 0.3835
Rh: 0.0000 0.5000 0.0000
Zn: 0.7946 0.2946 0.6165
Li: 0.3999 0.8999 0.8006
Li: 0.6001 0.1001 0.1994

***

Entry two
Material: Li2Zn2Rh
Method: DFT, GGA-PBE
State: relaxed

Results
* space group: No. 166
* magnetization: 0.00 μB/f.u.

a = 4.2325 Å, b = 4.2368 Å, c = 5.1342 Å
α = 65.63°, β = 65.66°, γ = 60.03°
Sites, in units of the cell vectors:
Rh: 0.0000 0.0000 0.0000
Li: 0.2013 0.2008 0.3967
Li: 0.7987 0.7992 0.6033
Zn: 0.6032 0.6030 0.1907
Zn: 0.3968 0.3970 0.8093

***

Of them, entry one has the lowest stability.